Entry 1:
# PBE Sr6InSn2, relaxed
data_Sr6InSn2
_chemical_formula_sum 'Sr12 In2 Sn4'
_cell_length_a 7.809
_cell_length_b 8.919
_cell_length_c 10.976
_cell_angle_alpha 90.00
_cell_angle_beta 84.42
_cell_angle_gamma 90.00
_space_group_name_H-M_alt 'P 1'
_space_group_IT_number 1
_space_group_name_Hall 'P 1'
loop_
_atom_site_label
_atom_site_type_symbol
_atom_site_fract_x
_atom_site_fract_y
_atom_site_fract_z
Sr1 Sr 0.838 0.957 0.233
Sr2 Sr 0.824 0.662 0.566
Sr3 Sr 0.866 0.681 0.931
Sr4 Sr 0.634 0.181 0.569
Sr5 Sr 0.676 0.162 0.934
Sr6 Sr 0.662 0.457 0.267
Sr7 Sr 0.162 0.043 0.767
Sr8 Sr 0.176 0.338 0.434
Sr9 Sr 0.134 0.319 0.069
Sr10 Sr 0.366 0.819 0.431
Sr11 Sr 0.324 0.838 0.066
Sr12 Sr 0.338 0.543 0.733
In1 In 0.500 0.500 0.000
In2 In 0.000 0.000 0.500
Sn1 Sn 0.946 0.369 0.738
Sn2 Sn 0.554 0.869 0.762
Sn3 Sn 0.446 0.131 0.238
Sn4 Sn 0.054 0.631 0.262
# * SG: No. 14
# * total energy: -0.0984 hartree per atom
# * ΔH_f (0 K): -0.362 eV per atom

Entry 2:
# PBE Tb7Si5Hg, relaxed
data_Tb7Si5Hg
_chemical_formula_sum 'Tb7 Si5 Hg1'
_cell_length_a 5.943
_cell_length_b 7.869
_cell_length_c 7.869
_cell_angle_alpha 86.15
_cell_angle_beta 67.81
_cell_angle_gamma 67.81
_space_group_name_H-M_alt 'P 1'
_space_group_IT_number 1
_space_group_name_Hall 'P 1'
loop_
_atom_site_label
_atom_site_type_symbol
_atom_site_fract_x
_atom_site_fract_y
_atom_site_fract_z
Tb1 Tb 0.651 0.349 0.349
Tb2 Tb 0.274 0.726 0.726
Tb3 Tb 0.982 0.342 0.694
Tb4 Tb 0.982 0.694 0.342
Tb5 Tb 0.286 0.214 0.214
Tb6 Tb 0.540 0.790 0.130
Tb7 Tb 0.540 0.130 0.790
Si1 Si 0.462 0.006 0.486
Si2 Si 0.046 0.006 0.486
Si3 Si 0.462 0.486 0.006
Si4 Si 0.046 0.486 0.006
Si5 Si 0.766 0.734 0.734
Hg1 Hg 0.963 0.037 0.037
# * SG: No. 44
# * total energy: -0.1850 hartree per atom
# * formation energy from raw total energies: -431.0 meV/atom

Entry 3:
# PBE GdBO3, relaxed
data_GdBO3
_chemical_formula_sum 'Gd2 B2 O6'
_cell_length_a 5.279
_cell_length_b 5.279
_cell_length_c 6.514
_cell_angle_alpha 90.00
_cell_angle_beta 90.00
_cell_angle_gamma 120.00
_space_group_name_H-M_alt 'P 1'
_space_group_IT_number 1
_space_group_name_Hall 'P 1'
loop_
_atom_site_label
_atom_site_type_symbol
_atom_site_fract_x
_atom_site_fract_y
_atom_site_fract_z
Gd1 Gd 0.000 0.000 0.000
Gd2 Gd 0.000 0.000 0.500
B1 B 0.667 0.333 0.750
B2 B 0.333 0.667 0.250
O1 O 0.182 0.363 0.250
O2 O 0.182 0.818 0.250
O3 O 0.363 0.182 0.750
O4 O 0.637 0.818 0.250
O5 O 0.818 0.182 0.750
O6 O 0.818 0.637 0.750
# * SG: No. 194
# * total energy: -0.3698 hartree per atom
# * formation energy from raw total energies: -2934.9 meV/atom

Entry 4:
# PBE La8Tb4Pr, relaxed
data_La8Tb4Pr
_chemical_formula_sum 'La8 Tb4 Pr1'
_cell_length_a 11.937
_cell_length_b 11.937
_cell_length_c 7.959
_cell_angle_alpha 90.00
_cell_angle_beta 138.58
_cell_angle_gamma 120.00
_space_group_name_H-M_alt 'P 1'
_space_group_IT_number 1
_space_group_name_Hall 'P 1'
loop_
_atom_site_label
_atom_site_type_symbol
_atom_site_fract_x
_atom_site_fract_y
_atom_site_fract_z
La1 La 0.519 0.759 0.278
La2 La 0.481 0.241 0.722
La3 La 0.339 0.170 0.013
La4 La 0.157 0.326 0.987
La5 La 0.661 0.830 0.987
La6 La 0.157 0.830 0.987
La7 La 0.843 0.170 0.013
La8 La 0.843 0.674 0.013
Tb1 Tb 0.000 0.000 0.000
Tb2 Tb 0.000 0.500 0.000
Tb3 Tb 0.500 0.500 0.000
Tb4 Tb 0.500 0.000 0.000
Pr1 Pr 0.000 0.500 0.500
# * SG: No. 166
# * total energy: -0.1632 hartree per atom
# * ΔH_f (0 K): 0.384 eV per atom

Entry 5:
# PBE HfBeCo, relaxed
data_HfBeCo
_chemical_formula_sum 'Hf1 Be1 Co1'
_cell_length_a 3.207
_cell_length_b 3.826
_cell_length_c 3.826
_cell_angle_alpha 120.00
_cell_angle_beta 90.00
_cell_angle_gamma 90.00
_space_group_name_H-M_alt 'P 1'
_space_group_IT_number 1
_space_group_name_Hall 'P 1'
loop_
_atom_site_label
_atom_site_type_symbol
_atom_site_fract_x
_atom_site_fract_y
_atom_site_fract_z
Co1 Co 0.167 0.333 0.667
Hf1 Hf 0.667 0.667 0.333
Be1 Be 0.167 0.000 0.000
# * SG: No. 187
# * total energy: -0.2644 hartree per atom
# * ΔH_f (0 K): -0.265 eV per atom

Entry 6:
# PBE Sm2Ga2CuPt5, relaxed
data_Sm2Ga2CuPt5
_chemical_formula_sum 'Sm4 Ga4 Cu2 Pt10'
_cell_length_a 3.603
_cell_length_b 10.003
_cell_length_c 10.003
_cell_angle_alpha 90.00
_cell_angle_beta 90.00
_cell_angle_gamma 90.00
_space_group_name_H-M_alt 'P 1'
_space_group_IT_number 1
_space_group_name_Hall 'P 1'
loop_
_atom_site_label
_atom_site_type_symbol
_atom_site_fract_x
_atom_site_fract_y
_atom_site_fract_z
Sm1 Sm 0.000 0.676 0.176
Sm2 Sm 0.000 0.324 0.824
Sm3 Sm 0.000 0.176 0.324
Sm4 Sm 0.000 0.824 0.676
Ga1 Ga 0.000 0.126 0.626
Ga2 Ga 0.000 0.874 0.374
Ga3 Ga 0.000 0.626 0.874
Ga4 Ga 0.000 0.374 0.126
Cu1 Cu 0.000 0.000 0.000
Cu2 Cu 0.000 0.500 0.500
Pt1 Pt 0.500 0.198 0.054
Pt2 Pt 0.500 0.802 0.946
Pt3 Pt 0.500 0.054 0.802
Pt4 Pt 0.500 0.698 0.446
Pt5 Pt 0.500 0.946 0.198
Pt6 Pt 0.500 0.302 0.554
Pt7 Pt 0.500 0.554 0.698
Pt8 Pt 0.500 0.446 0.302
Pt9 Pt 0.500 0.500 0.000
Pt10 Pt 0.500 0.000 0.500
# * SG: No. 127
# * total energy: -0.2101 hartree per atom
# * ΔH_f (0 K): -0.739 eV per atom

Entry 7:
# PBE LiTbGaAg, relaxed
data_LiTbGaAg
_chemical_formula_sum 'Li1 Tb1 Ga1 Ag1'
_cell_length_a 4.863
_cell_length_b 4.863
_cell_length_c 4.863
_cell_angle_alpha 60.00
_cell_angle_beta 60.00
_cell_angle_gamma 60.00
_space_group_name_H-M_alt 'P 1'
_space_group_IT_number 1
_space_group_name_Hall 'P 1'
loop_
_atom_site_label
_atom_site_type_symbol
_atom_site_fract_x
_atom_site_fract_y
_atom_site_fract_z
Tb1 Tb 0.000 0.000 0.000
Ga1 Ga 0.750 0.750 0.750
Ag1 Ag 0.250 0.250 0.250
Li1 Li 0.500 0.500 0.500
# * SG: No. 216
# * total energy: -0.1270 hartree per atom
# * ΔH_f (0 K): -0.350 eV per atom

Entry 8:
# PBE Ce4HgIrAu2, relaxed
data_Ce4HgIrAu2
_chemical_formula_sum 'Ce4 Hg1 Ir1 Au2'
_cell_length_a 5.253
_cell_length_b 5.253
_cell_length_c 8.803
_cell_angle_alpha 72.64
_cell_angle_beta 72.64
_cell_angle_gamma 60.00
_space_group_name_H-M_alt 'P 1'
_space_group_IT_number 1
_space_group_name_Hall 'P 1'
loop_
_atom_site_label
_atom_site_type_symbol
_atom_site_fract_x
_atom_site_fract_y
_atom_site_fract_z
Ce1 Ce 0.390 0.390 0.831
Ce2 Ce 0.858 0.858 0.425
Ce3 Ce 0.142 0.142 0.575
Ce4 Ce 0.610 0.610 0.169
Hg1 Hg 0.000 0.000 0.000
Ir1 Ir 0.500 0.500 0.500
Au1 Au 0.733 0.733 0.801
Au2 Au 0.267 0.267 0.199
# * SG: No. 166
# * total energy: -0.2029 hartree per atom
# * ΔH_f (0 K): -0.589 eV per atom

Entry 9:
# PBE Na6SnAu2, relaxed
data_Na6SnAu2
_chemical_formula_sum 'Na6 Sn1 Au2'
_cell_length_a 5.291
_cell_length_b 5.291
_cell_length_c 10.479
_cell_angle_alpha 75.38
_cell_angle_beta 75.38
_cell_angle_gamma 60.00
_space_group_name_H-M_alt 'P 1'
_space_group_IT_number 1
_space_group_name_Hall 'P 1'
loop_
_atom_site_label
_atom_site_type_symbol
_atom_site_fract_x
_atom_site_fract_y
_atom_site_fract_z
Na1 Na 0.582 0.582 0.253
Na2 Na 0.809 0.809 0.574
Na3 Na 0.700 0.700 0.901
Na4 Na 0.191 0.191 0.426
Na5 Na 0.418 0.418 0.747
Na6 Na 0.300 0.300 0.099
Sn1 Sn 0.000 0.000 0.000
Au1 Au 0.909 0.909 0.274
Au2 Au 0.091 0.091 0.726
# * SG: No. 166
# * total energy: -0.0835 hartree per atom
# * ΔH_f (0 K): -0.220 eV per atom

Entry 10:
# PBE Tb2Dy3Th6, relaxed
data_Tb2Dy3Th6
_chemical_formula_sum 'Tb2 Dy3 Th6'
_cell_length_a 3.574
_cell_length_b 3.574
_cell_length_c 31.800
_cell_angle_alpha 86.78
_cell_angle_beta 86.78
_cell_angle_gamma 60.00
_space_group_name_H-M_alt 'P 1'
_space_group_IT_number 1
_space_group_name_Hall 'P 1'
loop_
_atom_site_label
_atom_site_type_symbol
_atom_site_fract_x
_atom_site_fract_y
_atom_site_fract_z
Tb1 Tb 0.546 0.546 0.362
Tb2 Tb 0.454 0.454 0.638
Dy1 Dy 0.000 0.000 0.000
Dy2 Dy 0.727 0.727 0.819
Dy3 Dy 0.273 0.273 0.181
Th1 Th 0.909 0.909 0.272
Th2 Th 0.091 0.091 0.728
Th3 Th 0.818 0.818 0.545
Th4 Th 0.182 0.182 0.455
Th5 Th 0.636 0.636 0.091
Th6 Th 0.364 0.364 0.909
# * SG: No. 166
# * total energy: -0.2246 hartree per atom
# * ΔH_f (0 K): 0.032 eV per atom

Entry 11:
# PBE In3HgPb4, relaxed
data_In3HgPb4
_chemical_formula_sum 'In6 Hg2 Pb8'
_cell_length_a 6.916
_cell_length_b 9.809
_cell_length_c 6.908
_cell_angle_alpha 90.00
_cell_angle_beta 90.00
_cell_angle_gamma 90.00
_space_group_name_H-M_alt 'P 1'
_space_group_IT_number 1
_space_group_name_Hall 'P 1'
loop_
_atom_site_label
_atom_site_type_symbol
_atom_site_fract_x
_atom_site_fract_y
_atom_site_fract_z
Pb1 Pb 0.000 0.314 0.000
Pb2 Pb 0.000 0.314 0.500
Pb3 Pb 0.250 0.064 0.251
Pb4 Pb 0.250 0.564 0.749
Pb5 Pb 0.500 0.814 0.500
Pb6 Pb 0.500 0.814 0.000
Pb7 Pb 0.750 0.564 0.749
Pb8 Pb 0.750 0.064 0.251
Hg1 Hg 0.000 0.814 0.499
Hg2 Hg 0.500 0.314 0.501
In1 In 0.000 0.815 0.998
In2 In 0.250 0.065 0.749
In3 In 0.250 0.565 0.251
In4 In 0.500 0.315 0.002
In5 In 0.750 0.565 0.251
In6 In 0.750 0.065 0.749
# * SG: No. 31
# * total energy: -0.1068 hartree per atom
# * ΔH_f (0 K): 0.012 eV per atom

Entry 12:
# PBE ZnSiN3, relaxed
data_ZnSiN3
_chemical_formula_sum 'Zn1 Si1 N3'
_cell_length_a 3.885
_cell_length_b 3.885
_cell_length_c 3.885
_cell_angle_alpha 90.00
_cell_angle_beta 90.00
_cell_angle_gamma 90.00
_space_group_name_H-M_alt 'P 1'
_space_group_IT_number 1
_space_group_name_Hall 'P 1'
loop_
_atom_site_label
_atom_site_type_symbol
_atom_site_fract_x
_atom_site_fract_y
_atom_site_fract_z
Zn1 Zn 0.000 0.000 0.000
Si1 Si 0.500 0.500 0.500
N1 N 0.000 0.500 0.000
N2 N 0.000 0.000 0.500
N3 N 0.500 0.000 0.000
# * SG: No. 221
# * total energy: -0.1538 hartree per atom
# * formation energy from raw total energies: 2150.7 meV/atom

Entry 13:
# PBE HfNiW3, relaxed
data_HfNiW3
_chemical_formula_sum 'Hf1 Ni1 W3'
_cell_length_a 4.525
_cell_length_b 4.525
_cell_length_c 4.525
_cell_angle_alpha 90.00
_cell_angle_beta 90.00
_cell_angle_gamma 90.00
_space_group_name_H-M_alt 'P 1'
_space_group_IT_number 1
_space_group_name_Hall 'P 1'
loop_
_atom_site_label
_atom_site_type_symbol
_atom_site_fract_x
_atom_site_fract_y
_atom_site_fract_z
Ni1 Ni 0.000 0.000 0.000
Hf1 Hf 0.500 0.500 0.500
W1 W 0.000 0.500 0.000
W2 W 0.000 0.000 0.500
W3 W 0.500 0.000 0.000
# * SG: No. 221
# * total energy: -0.3561 hartree per atom
# * ΔH_f (0 K): 1.229 eV per atom

Entry 14:
# PBE Cu3PW, relaxed
data_Cu3PW
_chemical_formula_sum 'Cu3 P1 W1'
_cell_length_a 4.211
_cell_length_b 4.211
_cell_length_c 4.211
_cell_angle_alpha 90.00
_cell_angle_beta 90.00
_cell_angle_gamma 90.00
_space_group_name_H-M_alt 'P 1'
_space_group_IT_number 1
_space_group_name_Hall 'P 1'
loop_
_atom_site_label
_atom_site_type_symbol
_atom_site_fract_x
_atom_site_fract_y
_atom_site_fract_z
P1 P 0.000 0.000 0.000
Cu1 Cu 0.000 0.500 0.000
Cu2 Cu 0.000 0.000 0.500
Cu3 Cu 0.500 0.000 0.000
W1 W 0.500 0.500 0.500
# * SG: No. 221
# * total energy: -0.1888 hartree per atom
# * ΔH_f (0 K): 0.993 eV per atom

Entry 15:
# PBE ZrAlCd2Cu, relaxed
data_ZrAlCd2Cu
_chemical_formula_sum 'Zr1 Al1 Cd2 Cu1'
_cell_length_a 4.794
_cell_length_b 5.007
_cell_length_c 4.794
_cell_angle_alpha 90.00
_cell_angle_beta 90.00
_cell_angle_gamma 90.00
_space_group_name_H-M_alt 'P 1'
_space_group_IT_number 1
_space_group_name_Hall 'P 1'
loop_
_atom_site_label
_atom_site_type_symbol
_atom_site_fract_x
_atom_site_fract_y
_atom_site_fract_z
Al1 Al 0.500 0.500 0.500
Cu1 Cu 0.000 0.000 0.000
Zr1 Zr 0.000 0.500 0.000
Cd1 Cd 0.000 0.000 0.500
Cd2 Cd 0.500 0.000 0.000
# * SG: No. 123
# * total energy: -0.1194 hartree per atom
# * ΔH_f (0 K): 0.395 eV per atom

Entry 16:
# PBE Ca3Cu5, relaxed
data_Ca3Cu5
_chemical_formula_sum 'Ca3 Cu5'
_cell_length_a 3.390
_cell_length_b 3.390
_cell_length_c 13.527
_cell_angle_alpha 90.00
_cell_angle_beta 90.00
_cell_angle_gamma 90.00
_space_group_name_H-M_alt 'P 1'
_space_group_IT_number 1
_space_group_name_Hall 'P 1'
loop_
_atom_site_label
_atom_site_type_symbol
_atom_site_fract_x
_atom_site_fract_y
_atom_site_fract_z
Ca1 Ca 0.000 0.000 0.500
Ca2 Ca 0.500 0.500 0.139
Ca3 Ca 0.500 0.500 0.861
Cu1 Cu 0.000 0.000 0.000
Cu2 Cu 0.000 0.000 0.286
Cu3 Cu 0.000 0.000 0.714
Cu4 Cu 0.500 0.500 0.353
Cu5 Cu 0.500 0.500 0.647
# * SG: No. 123
# * total energy: -0.1222 hartree per atom
# * ΔH_f (0 K): -0.015 eV per atom

Entry 17:
# PBE Rb4AuIF, relaxed
data_Rb4AuIF
_chemical_formula_sum 'Rb8 Au2 I2 F2'
_cell_length_a 8.233
_cell_length_b 8.195
_cell_length_c 10.010
_cell_angle_alpha 90.00
_cell_angle_beta 107.63
_cell_angle_gamma 90.00
_space_group_name_H-M_alt 'P 1'
_space_group_IT_number 1
_space_group_name_Hall 'P 1'
loop_
_atom_site_label
_atom_site_type_symbol
_atom_site_fract_x
_atom_site_fract_y
_atom_site_fract_z
Rb1 Rb 0.979 0.487 0.771
Rb2 Rb 0.021 0.987 0.229
Rb3 Rb 0.021 0.513 0.229
Rb4 Rb 0.979 0.013 0.771
Rb5 Rb 0.435 0.750 0.126
Rb6 Rb 0.565 0.250 0.874
Rb7 Rb 0.411 0.750 0.588
Rb8 Rb 0.589 0.250 0.412
Au1 Au 0.747 0.750 0.935
Au2 Au 0.253 0.250 0.065
I1 I 0.796 0.750 0.455
I2 I 0.204 0.250 0.545
F1 F 0.254 0.750 0.313
F2 F 0.746 0.250 0.687
# * SG: No. 11
# * total energy: -0.1000 hartree per atom
# * formation energy from raw total energies: -1212.2 meV/atom

Entry 18:
# PBE InAgHgI4, relaxed
data_InAgHgI4
_chemical_formula_sum 'In2 Ag2 Hg2 I8'
_cell_length_a 8.622
_cell_length_b 8.622
_cell_length_c 11.879
_cell_angle_alpha 67.15
_cell_angle_beta 67.15
_cell_angle_gamma 61.08
_space_group_name_H-M_alt 'P 1'
_space_group_IT_number 1
_space_group_name_Hall 'P 1'
loop_
_atom_site_label
_atom_site_type_symbol
_atom_site_fract_x
_atom_site_fract_y
_atom_site_fract_z
In1 In 0.670 0.670 0.714
In2 In 0.330 0.330 0.286
Ag1 Ag 0.147 0.147 0.737
Ag2 Ag 0.853 0.853 0.263
Hg1 Hg 0.073 0.073 0.156
Hg2 Hg 0.927 0.927 0.844
I1 I 0.145 0.145 0.503
I2 I 0.855 0.855 0.497
I3 I 0.069 0.562 0.144
I4 I 0.497 0.497 0.320
I5 I 0.438 0.931 0.856
I6 I 0.562 0.069 0.144
I7 I 0.503 0.503 0.680
I8 I 0.931 0.438 0.856
# * SG: No. 12
# * total energy: -0.0763 hartree per atom
# * formation energy from raw total energies: -347.9 meV/atom

Entry 19:
# PBE BeRe2Si, relaxed
data_BeRe2Si
_chemical_formula_sum 'Be1 Re2 Si1'
_cell_length_a 2.659
_cell_length_b 2.659
_cell_length_c 8.147
_cell_angle_alpha 90.00
_cell_angle_beta 90.00
_cell_angle_gamma 109.72
_space_group_name_H-M_alt 'P 1'
_space_group_IT_number 1
_space_group_name_Hall 'P 1'
loop_
_atom_site_label
_atom_site_type_symbol
_atom_site_fract_x
_atom_site_fract_y
_atom_site_fract_z
Re1 Re 0.000 0.000 0.981
Re2 Re 0.500 0.500 0.257
Si1 Si 0.000 0.000 0.511
Be1 Be 0.500 0.500 0.752
# * SG: No. 35
# * total energy: -0.2996 hartree per atom
# * formation energy from raw total energies: 358.7 meV/atom

Entry 20:
# PBE BeNbNi6, relaxed
data_BeNbNi6
_chemical_formula_sum 'Be1 Nb1 Ni6'
_cell_length_a 4.936
_cell_length_b 4.936
_cell_length_c 5.614
_cell_angle_alpha 63.92
_cell_angle_beta 63.92
_cell_angle_gamma 60.00
_space_group_name_H-M_alt 'P 1'
_space_group_IT_number 1
_space_group_name_Hall 'P 1'
loop_
_atom_site_label
_atom_site_type_symbol
_atom_site_fract_x
_atom_site_fract_y
_atom_site_fract_z
Be1 Be 0.000 0.000 0.000
Nb1 Nb 0.500 0.500 0.500
Ni1 Ni 0.910 0.910 0.740
Ni2 Ni 0.439 0.910 0.740
Ni3 Ni 0.090 0.561 0.260
Ni4 Ni 0.561 0.090 0.260
Ni5 Ni 0.090 0.090 0.260
Ni6 Ni 0.910 0.439 0.740
# * SG: No. 166
# * total energy: -0.2131 hartree per atom
# * ΔH_f (0 K): 0.261 eV per atom